[1]
Entry from the Alexandria database: crystalline Hf3ZrCo at its relaxed geometry (PBE).

crystal system: orthorhombic
energy relative to the lowest polymorph listed for this composition: 0.2468 eV per atom
energy: -9.02 eV per atom
energy of formation: 0.087 eV per atom

Cell: 6.687 6.687 6.687 Å, 119.56 90.87 119.43°
Sites, in units of the cell vectors:
Hf1 0.264 0.000 0.764
Hf2 0.264 0.500 0.264
Hf3 0.274 0.024 0.250
Hf4 0.726 0.976 0.750
Hf5 0.736 0.000 0.236
Hf6 0.736 0.500 0.736
Zr1 0.279 0.529 0.750
Zr2 0.721 0.471 0.250
Co1 0.000 0.000 0.500
Co2 0.000 0.500 0.000

---

[2]
Entry from the Alexandria database: crystalline Hf2Zr5Co2 at its relaxed geometry (PBE).

crystal system: orthorhombic
energy: -8.56 eV per atom
energy of formation: -0.022 eV per atom

Cell: 9.539 9.539 6.362 Å, 90.00 90.00 39.08°
Sites, in units of the cell vectors:
Hf1 0.245 0.245 0.000
Hf2 0.255 0.255 0.500
Hf3 0.745 0.745 0.500
Hf4 0.755 0.755 0.000
Zr1 0.000 0.000 0.000
Zr2 0.081 0.675 0.702
Zr3 0.175 0.581 0.202
Zr4 0.325 0.919 0.702
Zr5 0.419 0.825 0.202
Zr6 0.500 0.500 0.500
Zr7 0.581 0.175 0.798
Zr8 0.675 0.081 0.298
Zr9 0.825 0.419 0.798
Zr10 0.919 0.325 0.298
Co1 0.125 0.875 0.375
Co2 0.375 0.625 0.875
Co3 0.625 0.375 0.125
Co4 0.875 0.125 0.625

---

[3]
Entry from the Alexandria database: crystalline Hf3Zr4Co2 at its relaxed geometry (PBE).

crystal system: monoclinic
energy: -8.82 eV per atom
energy of formation: -0.128 eV per atom

Cell: 8.227 8.227 7.973 Å, 116.03 116.03 22.64°
Sites, in units of the cell vectors:
Hf1 0.000 0.000 0.000
Hf2 0.077 0.077 0.691
Hf3 0.923 0.923 0.309
Zr1 0.236 0.236 0.175
Zr2 0.383 0.383 0.619
Zr3 0.617 0.617 0.381
Zr4 0.764 0.764 0.825
Co1 0.388 0.388 0.040
Co2 0.612 0.612 0.960

---

[4]
Entry from the Alexandria database: crystalline Hf2Zr3Co2 at its relaxed geometry (PBE).

crystal system: monoclinic
energy: -8.76 eV per atom
energy of formation: -0.227 eV per atom

Cell: 5.720 5.720 8.122 Å, 110.60 110.60 33.04°
Sites, in units of the cell vectors:
Hf1 0.164 0.164 0.314
Hf2 0.836 0.836 0.686
Zr1 0.385 0.385 0.061
Zr2 0.500 0.500 0.500
Zr3 0.615 0.615 0.939
Co1 0.164 0.164 0.720
Co2 0.836 0.836 0.280

---

[5]
Entry from the Alexandria database: crystalline HfZrCo2 at its relaxed geometry (PBE).

crystal system: orthorhombic
energy: -8.51 eV per atom
energy of formation: -0.333 eV per atom

Cell: 5.496 5.496 4.483 Å, 90.00 90.00 109.09°
Sites, in units of the cell vectors:
Hf1 0.124 0.876 0.750
Hf2 0.876 0.124 0.250
Zr1 0.374 0.626 0.250
Zr2 0.626 0.374 0.750
Co1 0.120 0.370 0.750
Co2 0.370 0.120 0.250
Co3 0.630 0.880 0.750
Co4 0.880 0.630 0.250

---

[6]
Entry from the Alexandria database: crystalline Hf3ZrCo at its relaxed geometry (PBE).

crystal system: cubic
energy relative to the lowest polymorph listed for this composition: 1.8449 eV per atom
energy: -7.42 eV per atom
energy of formation: 1.685 eV per atom

Cell: 5.012 5.012 5.012 Å, 90.00 90.00 90.00°
Sites, in units of the cell vectors:
Hf1 0.000 0.000 0.500
Hf2 0.000 0.500 0.000
Hf3 0.500 0.000 0.000
Zr1 0.000 0.000 0.000
Co1 0.500 0.500 0.500